Compound: NaLiIn2Ni
Source: Alexandria via LeMat-Bulk
Functional: PBE-GGA
Structure: relaxed

Results
Total moment: 0.000 μB per atom
D(E_F): 0.3961 states/eV/atom
Calculated formation energy: -0.09 eV per atom

Cell and atoms, written as CIF:
```
data_NaLiIn2Ni
_chemical_formula_sum 'Na1 Li1 In2 Ni1'
_symmetry_space_group_name_H-M 'P 4/m m m'
_symmetry_Int_Tables_number 123
_symmetry_space_group_name_Hall '-P 4 2'
_cell_length_a 4.928
_cell_length_b 4.928
_cell_length_c 4.906
_cell_angle_alpha 90.00
_cell_angle_beta 90.00
_cell_angle_gamma 90.00
loop_
_atom_site_label
_atom_site_type_symbol
_atom_site_fract_x
_atom_site_fract_y
_atom_site_fract_z
_atom_site_occupancy
Na1 Na 0.000 0.000 0.000 1
Li1 Li 0.500 0.500 0.000 1
In1 In 0.000 0.500 0.500 1
Ni1 Ni 0.500 0.500 0.500 1
```



Compound: Na2Li2InO4
Source: Alexandria via LeMat-Bulk
Functional: PBE-GGA
Structure: relaxed

Results
Total moment: 0.117 μB per atom
D(E_F): 0.7942 states/eV/atom
Formation energy without anion corrections: -1.46 eV/atom

Cell and atoms, written as CIF:
```
data_Na2Li2InO4
_chemical_formula_sum 'Na4 Li4 In2 O8'
_symmetry_space_group_name_H-M 'C 1 2/m 1'
_symmetry_Int_Tables_number 12
_cell_length_a 11.339
_cell_length_b 3.293
_cell_length_c 7.122
_cell_angle_alpha 90.00
_cell_angle_beta 123.28
_cell_angle_gamma 90.00
loop_
_symmetry_equiv_pos_as_xyz
'x,y,z'
'-x,-y,-z'
'-x,y,-z'
'x,-y,z'
'x+1/2,y+1/2,z'
'-x+1/2,-y+1/2,-z'
'-x+1/2,y+1/2,-z'
'x+1/2,-y+1/2,z'
loop_
_atom_site_label
_atom_site_type_symbol
_atom_site_fract_x
_atom_site_fract_y
_atom_site_fract_z
_atom_site_occupancy
Na1 Na 0.182 0.000 0.286 1
Li1 Li 0.148 0.500 0.884 1
In1 In 0.000 0.000 0.500 1
O1 O 0.057 0.500 0.352 1
O2 O 0.210 0.000 0.804 1
```



Compound: Na2LiIn2Pb4
Source: Alexandria via LeMat-Bulk
Functional: PBE-GGA
Structure: relaxed

Results
Total moment: 0.000 μB per atom
D(E_F): 0.4141 states/eV/atom
Calculated formation energy: -0.11 eV per atom

Cell and atoms, written as CIF:
```
data_Na2LiIn2Pb4
_chemical_formula_sum 'Na4 Li2 In4 Pb8'
_symmetry_space_group_name_H-M 'C 1 2/m 1'
_symmetry_Int_Tables_number 12
_cell_length_a 16.359
_cell_length_b 3.604
_cell_length_c 8.782
_cell_angle_alpha 90.00
_cell_angle_beta 99.80
_cell_angle_gamma 90.00
loop_
_symmetry_equiv_pos_as_xyz
'x,y,z'
'-x,-y,-z'
'-x,y,-z'
'x,-y,z'
'x+1/2,y+1/2,z'
'-x+1/2,-y+1/2,-z'
'-x+1/2,y+1/2,-z'
'x+1/2,-y+1/2,z'
loop_
_atom_site_label
_atom_site_type_symbol
_atom_site_fract_x
_atom_site_fract_y
_atom_site_fract_z
_atom_site_occupancy
Na1 Na 0.152 0.000 0.096 1
Li1 Li 0.000 0.000 0.500 1
In1 In 0.153 0.500 0.432 1
Pb1 Pb 0.016 0.500 0.811 1
Pb2 Pb 0.180 0.000 0.734 1
```



Compound: NaLiInPb2
Source: Alexandria via LeMat-Bulk
Functional: PBE-GGA
Structure: relaxed

Results
Total moment: 0.000 μB per atom
D(E_F): 0.5819 states/eV/atom
Calculated formation energy: 0.01 eV per atom

Cell and atoms, written as CIF:
```
data_NaLiInPb2
_chemical_formula_sum 'Na1 Li1 In1 Pb2'
_symmetry_space_group_name_H-M 'P 4/m m m'
_symmetry_Int_Tables_number 123
_symmetry_space_group_name_Hall '-P 4 2'
_cell_length_a 5.229
_cell_length_b 5.229
_cell_length_c 5.224
_cell_angle_alpha 90.00
_cell_angle_beta 90.00
_cell_angle_gamma 90.00
loop_
_atom_site_label
_atom_site_type_symbol
_atom_site_fract_x
_atom_site_fract_y
_atom_site_fract_z
_atom_site_occupancy
Na1 Na 0.000 0.000 0.000 1
Li1 Li 0.500 0.500 0.500 1
In1 In 0.500 0.500 0.000 1
Pb1 Pb 0.000 0.500 0.500 1
```



Compound: NaLiIn2Pb
Source: Alexandria via LeMat-Bulk
Functional: PBE-GGA
Structure: relaxed

Results
Total moment: 0.000 μB per atom
D(E_F): 0.4289 states/eV/atom
Calculated formation energy: -0.14 eV per atom

Cell and atoms, written as CIF:
```
data_NaLiIn2Pb
_chemical_formula_sum 'Na4 Li4 In8 Pb4'
_symmetry_space_group_name_H-M 'C m c m'
_symmetry_Int_Tables_number 63
_symmetry_space_group_name_Hall '-C 2c 2'
_cell_length_a 4.904
_cell_length_b 16.210
_cell_length_c 6.476
_cell_angle_alpha 90.00
_cell_angle_beta 90.00
_cell_angle_gamma 90.00
loop_
_atom_site_label
_atom_site_type_symbol
_atom_site_fract_x
_atom_site_fract_y
_atom_site_fract_z
_atom_site_occupancy
Na1 Na 0.000 0.101 0.250 1
Li1 Li 0.000 0.123 0.750 1
In1 In 0.000 0.301 0.004 1
Pb1 Pb 0.000 0.500 0.000 1
```



Compound: NaLiIn2Pd
Source: Alexandria via LeMat-Bulk
Functional: PBE-GGA
Structure: relaxed

Results
Total moment: 0.000 μB per atom
D(E_F): 0.3999 states/eV/atom
Calculated formation energy: -0.21 eV per atom

Cell and atoms, written as CIF:
```
data_NaLiIn2Pd
_chemical_formula_sum 'Na1 Li1 In2 Pd1'
_symmetry_space_group_name_H-M 'P 4/m m m'
_symmetry_Int_Tables_number 123
_symmetry_space_group_name_Hall '-P 4 2'
_cell_length_a 5.170
_cell_length_b 5.170
_cell_length_c 4.957
_cell_angle_alpha 90.00
_cell_angle_beta 90.00
_cell_angle_gamma 90.00
loop_
_atom_site_label
_atom_site_type_symbol
_atom_site_fract_x
_atom_site_fract_y
_atom_site_fract_z
_atom_site_occupancy
Na1 Na 0.000 0.000 0.000 1
Li1 Li 0.500 0.500 0.000 1
In1 In 0.000 0.500 0.500 1
Pd1 Pd 0.500 0.500 0.500 1
```



Compound: NaLiPmIn
Source: Alexandria via LeMat-Bulk
Functional: PBE-GGA
Structure: relaxed

Results
Total moment: 0.000 μB per atom
D(E_F): 0.6938 states/eV/atom
Calculated formation energy: -0.13 eV per atom

Cell and atoms, written as CIF:
```
data_NaLiPmIn
_chemical_formula_sum 'Na4 Li4 Pm4 In4'
_symmetry_space_group_name_H-M 'F -4 3 m'
_symmetry_Int_Tables_number 216
_symmetry_space_group_name_Hall 'F -4 2 3'
_cell_length_a 7.498
_cell_length_b 7.498
_cell_length_c 7.498
_cell_angle_alpha 90.00
_cell_angle_beta 90.00
_cell_angle_gamma 90.00
loop_
_atom_site_label
_atom_site_type_symbol
_atom_site_fract_x
_atom_site_fract_y
_atom_site_fract_z
_atom_site_occupancy
Na1 Na 0.000 0.000 0.000 1
Li1 Li 0.250 0.250 0.250 1
Pm1 Pm 0.000 0.000 0.500 1
In1 In 0.250 0.250 0.750 1
```



Compound: NaLiInPt
Source: Alexandria via LeMat-Bulk
Functional: PBE-GGA
Structure: relaxed

Results
Total moment: 0.000 μB per atom
D(E_F): 0.2990 states/eV/atom
Calculated formation energy: -0.38 eV per atom

Cell and atoms, written as CIF:
```
data_NaLiInPt
_chemical_formula_sum 'Na4 Li4 In4 Pt4'
_symmetry_space_group_name_H-M 'F -4 3 m'
_symmetry_Int_Tables_number 216
_symmetry_space_group_name_Hall 'F -4 2 3'
_cell_length_a 6.625
_cell_length_b 6.625
_cell_length_c 6.625
_cell_angle_alpha 90.00
_cell_angle_beta 90.00
_cell_angle_gamma 90.00
loop_
_atom_site_label
_atom_site_type_symbol
_atom_site_fract_x
_atom_site_fract_y
_atom_site_fract_z
_atom_site_occupancy
Na1 Na 0.000 0.000 0.000 1
Li1 Li 0.250 0.250 0.250 1
In1 In 0.250 0.250 0.750 1
Pt1 Pt 0.000 0.000 0.500 1
```



- Number 7 is which compound?
  NaLiPmIn